No. 1
VASP calculation (GGA-PBE) on an optimized crystal structure of Cs2ZnSb.

Summary:
Volume in Å³ per atom: 47.446
Crystal system: cubic
ΔE_f (raw) in meV per atom: -11

CIF file:
```
data_Cs2ZnSb
_chemical_formula_sum 'Cs2 Zn1 Sb1'
_cell_length_a 6.450
_cell_length_b 6.450
_cell_length_c 6.450
_cell_angle_alpha 60.00
_cell_angle_beta 60.00
_cell_angle_gamma 60.00
_symmetry_space_group_name_H-M 'P 1'
_symmetry_Int_Tables_number 1
loop_
_symmetry_equiv_pos_as_xyz
'x,y,z'
loop_
_atom_site_label
_atom_site_type_symbol
_atom_site_fract_x
_atom_site_fract_y
_atom_site_fract_z
_atom_site_occupancy
Cs1 Cs 0.250 0.250 0.250 1
Cs2 Cs 0.750 0.750 0.750 1
Zn1 Zn 0.000 0.000 0.000 1
Sb1 Sb 0.500 0.500 0.500 1
```

---

No. 2
VASP calculation (GGA-PBE) on an optimized crystal structure of YHfFeIr.

Summary:
Volume in Å³ per atom: 17.969
Crystal system: cubic
E_form in eV per formula unit: -1.72

CIF file:
```
data_YHfFeIr
_chemical_formula_sum 'Y1 Hf1 Fe1 Ir1'
_cell_length_a 4.667
_cell_length_b 4.667
_cell_length_c 4.667
_cell_angle_alpha 60.00
_cell_angle_beta 60.00
_cell_angle_gamma 60.00
_symmetry_space_group_name_H-M 'P 1'
_symmetry_Int_Tables_number 1
loop_
_symmetry_equiv_pos_as_xyz
'x,y,z'
loop_
_atom_site_label
_atom_site_type_symbol
_atom_site_fract_x
_atom_site_fract_y
_atom_site_fract_z
_atom_site_occupancy
Y1 Y 0.000 0.000 0.000 1
Hf1 Hf 0.500 0.500 0.500 1
Fe1 Fe 0.250 0.250 0.250 1
Ir1 Ir 0.750 0.750 0.750 1
```

---

No. 3
VASP calculation (GGA-PBE) on an optimized crystal structure of LiTi2SbC.

Summary:
Volume in Å³ per atom: 23.972
Crystal system: tetragonal
ΔE_f (raw) in meV per atom: 1572

CIF file:
```
data_LiTi2SbC
_chemical_formula_sum 'Li1 Ti2 Sb1 C1'
_cell_length_a 5.205
_cell_length_b 5.205
_cell_length_c 4.423
_cell_angle_alpha 90.00
_cell_angle_beta 90.00
_cell_angle_gamma 90.00
_symmetry_space_group_name_H-M 'P 1'
_symmetry_Int_Tables_number 1
loop_
_symmetry_equiv_pos_as_xyz
'x,y,z'
loop_
_atom_site_label
_atom_site_type_symbol
_atom_site_fract_x
_atom_site_fract_y
_atom_site_fract_z
_atom_site_occupancy
Li1 Li 0.000 0.000 0.000 1
Ti1 Ti 0.000 0.500 0.500 1
Ti2 Ti 0.500 0.000 0.500 1
Sb1 Sb 0.500 0.500 0.500 1
C1 C 0.500 0.500 0.000 1
```

---

No. 4
VASP calculation (GGA-PBE) on an optimized crystal structure of Hg3P.

Summary:
Volume in Å³ per atom: 22.183
Crystal system: cubic
E_form in eV per formula unit: 1.92

CIF file:
```
data_Hg3P
_chemical_formula_sum 'Hg3 P1'
_cell_length_a 4.460
_cell_length_b 4.460
_cell_length_c 4.460
_cell_angle_alpha 90.00
_cell_angle_beta 90.00
_cell_angle_gamma 90.00
_symmetry_space_group_name_H-M 'P 1'
_symmetry_Int_Tables_number 1
loop_
_symmetry_equiv_pos_as_xyz
'x,y,z'
loop_
_atom_site_label
_atom_site_type_symbol
_atom_site_fract_x
_atom_site_fract_y
_atom_site_fract_z
_atom_site_occupancy
Hg1 Hg 0.000 0.000 0.500 1
Hg2 Hg 0.000 0.500 0.000 1
Hg3 Hg 0.500 0.000 0.000 1
P1 P 0.500 0.500 0.500 1
```

---

No. 5
VASP calculation (GGA-PBE) on an optimized crystal structure of HfInSn.

Summary:
Volume in Å³ per atom: 23.727
Crystal system: orthorhombic
E_form in eV per formula unit: -0.09

CIF file:
```
data_HfInSn
_chemical_formula_sum 'Hf2 In2 Sn2'
_cell_length_a 5.616
_cell_length_b 5.616
_cell_length_c 6.085
_cell_angle_alpha 90.00
_cell_angle_beta 90.00
_cell_angle_gamma 132.11
_symmetry_space_group_name_H-M 'P 1'
_symmetry_Int_Tables_number 1
loop_
_symmetry_equiv_pos_as_xyz
'x,y,z'
loop_
_atom_site_label
_atom_site_type_symbol
_atom_site_fract_x
_atom_site_fract_y
_atom_site_fract_z
_atom_site_occupancy
Hf1 Hf 0.123 0.877 0.750 1
Hf2 Hf 0.877 0.123 0.250 1
In1 In 0.500 0.500 0.000 1
In2 In 0.500 0.500 0.500 1
Sn1 Sn 0.179 0.821 0.250 1
Sn2 Sn 0.821 0.179 0.750 1
```

---

No. 6
VASP calculation (GGA-PBE) on an optimized crystal structure of Al2Fe4Cu.

Summary:
Volume in Å³ per atom: 13.459
Crystal system: tetragonal
E_form in eV per formula unit: 1.20

CIF file:
```
data_Al2Fe4Cu
_chemical_formula_sum 'Al2 Fe4 Cu1'
_cell_length_a 8.749
_cell_length_b 8.749
_cell_length_c 8.749
_cell_angle_alpha 157.96
_cell_angle_beta 157.96
_cell_angle_gamma 31.36
_symmetry_space_group_name_H-M 'P 1'
_symmetry_Int_Tables_number 1
loop_
_symmetry_equiv_pos_as_xyz
'x,y,z'
loop_
_atom_site_label
_atom_site_type_symbol
_atom_site_fract_x
_atom_site_fract_y
_atom_site_fract_z
_atom_site_occupancy
Al1 Al 0.100 0.100 0.000 1
Al2 Al 0.900 0.900 0.000 1
Fe1 Fe 0.250 0.750 0.500 1
Fe2 Fe 0.354 0.354 0.000 1
Fe3 Fe 0.646 0.646 0.000 1
Fe4 Fe 0.750 0.250 0.500 1
Cu1 Cu 0.500 0.500 0.000 1
```

---

No. 7
VASP calculation (GGA-PBE) on an optimized crystal structure of HgC2F.

Summary:
Volume in Å³ per atom: 14.392
Crystal system: tetragonal
ΔE_f (raw) in meV per atom: 1198

CIF file:
```
data_HgC2F
_chemical_formula_sum 'Hg2 C4 F2'
_cell_length_a 12.666
_cell_length_b 12.666
_cell_length_c 12.666
_cell_angle_alpha 166.23
_cell_angle_beta 166.23
_cell_angle_gamma 19.52
_symmetry_space_group_name_H-M 'P 1'
_symmetry_Int_Tables_number 1
loop_
_symmetry_equiv_pos_as_xyz
'x,y,z'
loop_
_atom_site_label
_atom_site_type_symbol
_atom_site_fract_x
_atom_site_fract_y
_atom_site_fract_z
_atom_site_occupancy
Hg1 Hg 0.375 0.625 0.750 1
Hg2 Hg 0.625 0.375 0.250 1
C1 C 0.000 0.000 0.000 1
C2 C 0.000 0.000 0.500 1
C3 C 0.000 0.500 0.000 1
C4 C 0.500 0.000 0.500 1
F1 F 0.125 0.875 0.250 1
F2 F 0.875 0.125 0.750 1
```